Entry 1:
A relaxed TaRh3 crystal. Source: Alexandria via LeMat-Bulk, functional GGA-PBEsol.

- energy of formation from the pure elements (eV per atom) = -0.620
- symmetry = Pm-3m

Cell: 3.8432 3.8432 3.8432 Å, 90.00 90.00 90.00°
Sites, in units of the cell vectors:
Rh  0.0000  0.5000  0.5000
Rh  0.5000  0.5000  0.0000
Rh  0.5000  0.0000  0.5000
Ta  0.0000  0.0000  0.0000



Entry 2:
A relaxed YBS2N crystal. Source: Alexandria via LeMat-Bulk, functional GGA-PBEsol.

- formation energy from raw total energies (eV per atom) = -0.472
- symmetry = P4/mmm

Cell: 2.7660 5.1085 5.1085 Å, 90.00 90.00 90.00°
Sites, in units of the cell vectors:
Y  0.5000  0.5000  0.5000
S  0.0000  0.0000  0.5000
S  0.0000  0.5000  0.0000
B  0.0000  0.0000  0.0000
N  0.5000  0.0000  0.0000



no.,VASP energy (eV/cell)
1,-39.45
2,-33.50